{
  "formula": "BaYSi",
  "functional": "SCAN",
  "state": "PBEsol geometry",
  "lattice": [[4.865, 0.000, 0.000], [-2.433, 4.214, 0.000], [0.000, 0.000, 4.779]],
  "species": ["Ba", "Y", "Si"],
  "frac_coords": [[0.000, 0.000, 0.000], [0.667, 0.333, 0.498], [0.333, 0.667, 0.508]],
  "dft_energy_ry_per_atom": -1.918,
  "crystal_system": "trigonal",
  "spacegroup": "P3m1",
  "vol_a3_per_cell": 98,
  "n_ef_per_ev_cell": 1.3
}

{
  "formula": "CsMnP4O12",
  "functional": "SCAN",
  "state": "PBEsol geometry",
  "lattice": [[5.240, 0.000, 0.000], [0.000, 13.652, 0.000], [-1.584, 0.000, 7.261]],
  "species": ["Cs", "Cs", "Mn", "Mn", "P", "P", "P", "P", "P", "P", "P", "P", "O", "O", "O", "O", "O", "O", "O", "O", "O", "O", "O", "O", "O", "O", "O", "O", "O", "O", "O", "O", "O", "O", "O", "O"],
  "frac_coords": [[0.110, 0.000, 0.330], [0.890, 0.500, 0.670], [0.003, 0.731, 0.014], [0.997, 0.231, 0.986], [0.287, 0.317, 0.363], [0.365, 0.674, 0.403], [0.497, 0.091, 0.930], [0.498, 0.371, 0.052], [0.502, 0.871, 0.948], [0.503, 0.591, 0.070], [0.635, 0.174, 0.597], [0.713, 0.817, 0.637], [0.126, 0.714, 0.271], [0.133, 0.236, 0.244], [0.154, 0.405, 0.409], [0.239, 0.099, 0.981], [0.248, 0.863, 0.006], [0.269, 0.314, 0.939], [0.281, 0.653, 0.965], [0.335, 0.619, 0.568], [0.392, 0.482, 0.038], [0.443, 0.267, 0.548], [0.468, 0.108, 0.714], [0.471, 0.845, 0.735], [0.529, 0.345, 0.265], [0.532, 0.608, 0.286], [0.557, 0.767, 0.452], [0.608, 0.982, 0.962], [0.665, 0.119, 0.432], [0.719, 0.153, 0.035], [0.731, 0.814, 0.061], [0.752, 0.363, 0.994], [0.761, 0.599, 0.019], [0.846, 0.905, 0.591], [0.867, 0.736, 0.756], [0.874, 0.214, 0.729]],
  "dft_energy_ry_per_atom": -0.881,
  "crystal_system": "monoclinic",
  "spacegroup": "P2_1",
  "vol_a3_per_cell": 519,
  "n_ef_per_ev_cell": 0.0
}

{
  "formula": "AsHPb4Cl4O4",
  "functional": "SCAN",
  "state": "PBEsol geometry",
  "lattice": [[13.702, 0.000, 0.000], [0.000, 7.862, 0.000], [-2.333, 0.000, 10.418]],
  "species": ["As", "As", "As", "As", "H", "H", "H", "H", "Pb", "Pb", "Pb", "Pb", "Pb", "Pb", "Pb", "Pb", "Pb", "Pb", "Pb", "Pb", "Pb", "Pb", "Pb", "Pb", "Cl", "Cl", "Cl", "Cl", "Cl", "Cl", "Cl", "Cl", "Cl", "Cl", "Cl", "Cl", "Cl", "Cl", "Cl", "Cl", "O", "O", "O", "O", "O", "O", "O", "O", "O", "O", "O", "O", "O", "O", "O", "O"],
  "frac_coords": [[0.200, 0.052, 0.157], [0.200, 0.448, 0.657], [0.800, 0.552, 0.343], [0.800, 0.948, 0.843], [0.202, 0.746, 0.801], [0.202, 0.754, 0.301], [0.798, 0.246, 0.699], [0.798, 0.254, 0.199], [0.055, 0.742, 0.481], [0.055, 0.758, 0.981], [0.188, 0.096, 0.848], [0.188, 0.404, 0.348], [0.335, 0.743, 0.555], [0.335, 0.757, 0.055], [0.415, 0.216, 0.634], [0.415, 0.284, 0.134], [0.585, 0.716, 0.866], [0.585, 0.784, 0.366], [0.665, 0.243, 0.945], [0.665, 0.257, 0.445], [0.812, 0.596, 0.652], [0.812, 0.904, 0.152], [0.945, 0.242, 0.019], [0.945, 0.258, 0.519], [0.003, 0.060, 0.278], [0.003, 0.440, 0.778], [0.216, 0.055, 0.560], [0.216, 0.445, 0.060], [0.409, 0.103, 0.374], [0.409, 0.397, 0.874], [0.417, 0.566, 0.344], [0.417, 0.934, 0.844], [0.583, 0.066, 0.156], [0.583, 0.434, 0.656], [0.591, 0.603, 0.126], [0.591, 0.897, 0.626], [0.784, 0.555, 0.940], [0.784, 0.945, 0.440], [0.997, 0.560, 0.222], [0.997, 0.940, 0.722], [0.100, 0.059, 0.013], [0.100, 0.441, 0.513], [0.201, 0.696, 0.387], [0.201, 0.804, 0.887], [0.203, 0.676, 0.663], [0.203, 0.824, 0.163], [0.301, 0.062, 0.067], [0.301, 0.438, 0.567], [0.699, 0.562, 0.433], [0.699, 0.938, 0.933], [0.797, 0.176, 0.837], [0.797, 0.324, 0.337], [0.799, 0.196, 0.113], [0.799, 0.304, 0.613], [0.900, 0.559, 0.487], [0.900, 0.941, 0.987]],
  "dft_energy_ry_per_atom": -2.108,
  "crystal_system": "monoclinic",
  "spacegroup": "P2_1/c",
  "vol_a3_per_cell": 1122,
  "n_ef_per_ev_cell": 0.0
}

{
  "formula": "HPdPt2",
  "functional": "SCAN",
  "state": "PBEsol geometry",
  "lattice": [[0.000, 2.967, 2.967], [2.967, 0.000, 2.967], [2.967, 2.967, 0.000]],
  "species": ["H", "Pd", "Pt", "Pt"],
  "frac_coords": [[0.000, 0.000, 0.000], [0.500, 0.500, 0.500], [0.250, 0.250, 0.250], [0.750, 0.750, 0.750]],
  "dft_energy_ry_per_atom": -3.197,
  "crystal_system": "cubic",
  "spacegroup": "Fm-3m",
  "vol_a3_per_cell": 52,
  "n_ef_per_ev_cell": 5.4
}

{
  "formula": "Zr2OsRu",
  "functional": "SCAN",
  "state": "PBEsol geometry",
  "lattice": [[-1.910, 1.910, 4.725], [1.910, -1.910, 4.725], [1.910, 1.910, -4.725]],
  "species": ["Zr", "Zr", "Os", "Ru"],
  "frac_coords": [[0.000, 0.000, 0.000], [0.750, 0.250, 0.500], [0.500, 0.500, 0.000], [0.250, 0.750, 0.500]],
  "dft_energy_ry_per_atom": -3.115,
  "crystal_system": "tetragonal",
  "spacegroup": "I-4m2",
  "vol_a3_per_cell": 69,
  "n_ef_per_ev_cell": 2.5,
  "formation_energy_ev_per_atom": -0.354
}

{
  "formula": "CrAs2",
  "functional": "SCAN",
  "state": "PBEsol geometry",
  "lattice": [[6.889, 0.000, 0.000], [-3.444, 5.966, 0.000], [0.000, 0.000, 3.164]],
  "species": ["Cr", "Cr", "Cr", "As", "As", "As", "As", "As", "As"],
  "frac_coords": [[0.000, 0.000, 0.000], [0.333, 0.667, 0.500], [0.667, 0.333, 0.500], [0.000, 0.384, 0.000], [0.000, 0.726, 0.500], [0.274, 0.274, 0.500], [0.384, 0.000, 0.000], [0.616, 0.616, 0.000], [0.726, 0.000, 0.500]],
  "dft_energy_ry_per_atom": -1.440,
  "crystal_system": "hexagonal",
  "spacegroup": "P-62m",
  "vol_a3_per_cell": 130,
  "n_ef_per_ev_cell": 6.0,
  "formation_energy_ev_per_atom": -0.010
}

{
  "formula": "YRh2Se",
  "functional": "SCAN",
  "state": "PBEsol geometry",
  "lattice": [[0.000, 2.851, 4.487], [2.790, 0.000, 4.487], [2.790, 2.851, 0.000]],
  "species": ["Y", "Rh", "Rh", "Se"],
  "frac_coords": [[0.000, 0.000, 0.000], [0.000, 0.500, 0.500], [0.500, 0.000, 0.000], [0.500, 0.500, 0.500]],
  "dft_energy_ry_per_atom": -2.164,
  "crystal_system": "orthorhombic",
  "spacegroup": "Fmmm",
  "vol_a3_per_cell": 71,
  "n_ef_per_ev_cell": 2.8
}

{
  "formula": "LiCaNbRu2",
  "functional": "SCAN",
  "state": "PBEsol geometry",
  "lattice": [[4.465, 0.000, 0.000], [0.000, 4.465, 0.000], [0.000, 0.000, 3.857]],
  "species": ["Li", "Ca", "Nb", "Ru", "Ru"],
  "frac_coords": [[0.000, 0.000, 0.000], [0.000, 0.000, 0.500], [0.500, 0.500, 0.500], [0.000, 0.500, 0.000], [0.500, 0.000, 0.000]],
  "dft_energy_ry_per_atom": -1.628,
  "crystal_system": "tetragonal",
  "spacegroup": "P4/mmm",
  "vol_a3_per_cell": 77,
  "n_ef_per_ev_cell": 2.1,
  "formation_energy_ev_per_atom": 0.822
}

{
  "formula": "CoHgTe2",
  "functional": "SCAN",
  "state": "PBEsol geometry",
  "lattice": [[3.221, -1.851, 0.000], [3.221, 1.851, 0.000], [-2.071, 0.000, 7.777]],
  "species": ["Co", "Hg", "Te", "Te"],
  "frac_coords": [[0.000, 0.000, 0.000], [0.500, 0.500, 0.500], [0.278, 0.278, 0.830], [0.722, 0.722, 0.170]],
  "dft_energy_ry_per_atom": -2.948,
  "crystal_system": "monoclinic",
  "spacegroup": "C2/m",
  "vol_a3_per_cell": 93,
  "n_ef_per_ev_cell": 1.3
}

{
  "formula": "RbF3",
  "functional": "SCAN",
  "state": "PBEsol geometry",
  "lattice": [[2.274, 1.313, 5.246], [-2.274, 1.313, 5.246], [0.000, -2.625, 5.246]],
  "species": ["Rb", "F", "F", "F"],
  "frac_coords": [[0.000, 0.000, 0.000], [0.392, 0.392, 0.392], [0.500, 0.500, 0.500], [0.608, 0.608, 0.608]],
  "dft_energy_ry_per_atom": -0.685,
  "crystal_system": "trigonal",
  "spacegroup": "R-3m",
  "vol_a3_per_cell": 94,
  "n_ef_per_ev_cell": 0.0
}

{
  "formula": "Ti3AsO",
  "functional": "SCAN",
  "state": "PBEsol geometry",
  "lattice": [[4.048, 0.000, 0.000], [0.000, 4.048, 0.000], [0.000, 0.000, 4.048]],
  "species": ["Ti", "Ti", "Ti", "As", "O"],
  "frac_coords": [[0.000, 0.000, 0.500], [0.000, 0.500, 0.000], [0.500, 0.000, 0.000], [0.500, 0.500, 0.500], [0.000, 0.000, 0.000]],
  "dft_energy_ry_per_atom": -1.194,
  "crystal_system": "cubic",
  "spacegroup": "Pm-3m",
  "vol_a3_per_cell": 66,
  "n_ef_per_ev_cell": 3.9
}

{
  "formula": "LaYSbF2",
  "functional": "SCAN",
  "state": "PBEsol geometry",
  "lattice": [[4.489, 0.000, 0.000], [0.000, 4.489, 0.000], [0.000, 0.000, 6.798]],
  "species": ["La", "Y", "Sb", "F", "F"],
  "frac_coords": [[0.000, 0.000, 0.000], [0.500, 0.500, 0.500], [0.000, 0.000, 0.500], [0.000, 0.500, 0.000], [0.500, 0.000, 0.000]],
  "dft_energy_ry_per_atom": -1.880,
  "crystal_system": "tetragonal",
  "spacegroup": "P4/mmm",
  "vol_a3_per_cell": 137,
  "n_ef_per_ev_cell": 2.0
}